No. 1
Computed, not measured: a geometry-optimized Rb2TiV structure at the PBE level of DFT.

Properties
DFT total energy ... -3.00 eV per atom
Space group ... No. 225
DOS(E_F) ... 12.2 states/eV/f.u.

a = 6.1628 Å, b = 6.1628 Å, c = 6.1628 Å
α = 60.00°, β = 60.00°, γ = 60.00°
Positions (direct):
Rb1 0.2500 0.2500 0.2500
Rb2 0.7500 0.7500 0.7500
Ti1 0.0000 0.0000 0.0000
V1 0.5000 0.5000 0.5000

***

No. 2
Computed, not measured: a geometry-optimized Mg2BPF structure at the PBE level of DFT.

Properties
Space group ... No. 123
DOS(E_F) ... 3.0 states/eV/f.u.
Energy relative to the elements, uncorrected ... 144.2 kJ/mol of formula units

a = 4.9368 Å, b = 4.9368 Å, c = 3.8210 Å
α = 90.00°, β = 90.00°, γ = 90.00°
Positions (direct):
Mg1 0.0000 0.5000 0.0000
Mg2 0.5000 0.0000 0.0000
B1 0.0000 0.0000 0.5000
P1 0.5000 0.5000 0.0000
F1 0.5000 0.5000 0.5000

***

No. 3
Computed, not measured: a geometry-optimized BaMo2Ru structure at the PBE level of DFT.

Properties
Energy above the lowest structure with this stoichiometry ... 49.26 kJ/mol of atoms
Space group ... No. 216
DOS(E_F) ... 5.5 states/eV/f.u.

a = 4.7635 Å, b = 4.7635 Å, c = 4.7635 Å
α = 60.00°, β = 60.00°, γ = 60.00°
Positions (direct):
Ba1 0.0000 0.0000 0.0000
Mo1 0.2500 0.2500 0.2500
Mo2 0.5000 0.5000 0.5000
Ru1 0.7500 0.7500 0.7500

***

No. 4
Computed, not measured: a geometry-optimized TbErHgPd structure at the PBE level of DFT.

Properties
Energy above the lowest structure with this stoichiometry ... 0.00 kJ/mol of atoms
Space group ... No. 99
DOS(E_F) ... 2.7 states/eV/f.u.

a = 3.5726 Å, b = 3.5726 Å, c = 7.3610 Å
α = 90.00°, β = 90.00°, γ = 90.00°
Positions (direct):
Tb1 0.0000 0.0000 0.0000
Er1 0.0000 0.0000 0.4582
Hg1 0.5000 0.5000 0.7241
Pd1 0.5000 0.5000 0.2372

***

No. 5
Computed, not measured: a geometry-optimized MgCrOsN2 structure at the PBE level of DFT.

Properties
Space group ... No. 123
DOS(E_F) ... 2.7 states/eV/f.u.
Energy relative to the elements, uncorrected ... 427.1 kJ/mol of formula units

a = 3.8440 Å, b = 3.8440 Å, c = 5.2798 Å
α = 90.00°, β = 90.00°, γ = 90.00°
Positions (direct):
Mg1 0.0000 0.0000 0.0000
Cr1 0.5000 0.5000 0.0000
Os1 0.5000 0.5000 0.5000
N1 0.0000 0.5000 0.5000
N2 0.5000 0.0000 0.5000

***

No. 6
Computed, not measured: a geometry-optimized MgSe5 structure at the PBE level of DFT.

Properties
Space group ... No. 8
DOS(E_F) ... 1.2 states/eV/f.u.
Energy relative to the elements, uncorrected ... -137.4 kJ/mol of formula units

a = 7.0801 Å, b = 7.0801 Å, c = 8.1050 Å
α = 110.76°, β = 110.76°, γ = 31.79°
Positions (direct):
Mg1 0.0000 0.0000 0.0000
Se1 0.0315 0.0315 0.7017
Se2 0.3268 0.3268 0.9150
Se3 0.4139 0.4139 0.2342
Se4 0.5877 0.5877 0.2242
Se5 0.6657 0.6657 0.8069

***

No. 7
Computed, not measured: a geometry-optimized HfRh3Au structure at the PBE level of DFT.

Properties
Energy above the lowest structure with this stoichiometry ... 0.00 kJ/mol of atoms
Space group ... No. 221
DOS(E_F) ... 4.4 states/eV/f.u.

a = 4.7295 Å, b = 4.7295 Å, c = 4.7295 Å
α = 90.00°, β = 90.00°, γ = 90.00°
Positions (direct):
Hf1 0.0000 0.0000 0.0000
Rh1 0.0000 0.0000 0.5000
Rh2 0.0000 0.5000 0.0000
Rh3 0.5000 0.0000 0.0000
Au1 0.5000 0.5000 0.5000

***

No. 8
Computed, not measured: a geometry-optimized MnZnCu2 structure at the PBE level of DFT.

Properties
DFT total energy ... -4.61 eV per atom
Space group ... No. 47
DOS(E_F) ... 2.0 states/eV/f.u.

a = 2.8748 Å, b = 3.2750 Å, c = 5.5902 Å
α = 90.00°, β = 90.00°, γ = 90.00°
Positions (direct):
Mn1 0.0000 0.0000 0.0000
Zn1 0.0000 0.0000 0.5000
Cu1 0.5000 0.5000 0.2479
Cu2 0.5000 0.5000 0.7521